This record from Alexandria describes an optimized crystal structure of B2RuPbBr. The functional is PBE-GGA.

E	-5.060	eV per atom
E above lowest polymorph	0.000	eV/atom
DOS(E_F)	1.65	states/eV/f.u.
formation energy from raw total energies	0.54	eV/atom

Cell lengths 4.178, 4.178, 5.566 Å; angles 90.00, 90.00, 90.00 degrees
Space group P4/mmm (No. 123)
One atom of each set of equivalent atoms:
B (0.000, 0.500, 0.000) [2 per cell]
Ru (0.000, 0.000, 0.000) [1 per cell]
Pb (0.000, 0.000, 0.500) [1 per cell]
Br (0.500, 0.500, 0.500) [1 per cell]

---

This record from Alexandria describes an optimized crystal structure of MnCo2MoH. The functional is PBE-GGA.

E	-7.455	eV per atom
E above lowest polymorph	0.075	eV/atom
DOS(E_F)	4.85	states/eV/f.u.

Cell lengths 3.554, 3.554, 3.895 Å; angles 90.00, 90.00, 90.00 degrees
Space group P4/mmm (No. 123)
One atom of each set of equivalent atoms:
Mn (0.000, 0.000, 0.000) [1 per cell]
Co (0.000, 0.500, 0.500) [2 per cell]
Mo (0.500, 0.500, 0.000) [1 per cell]
H (0.500, 0.500, 0.500) [1 per cell]

---

This record from Alexandria describes an optimized crystal structure of La4PmGa4. The functional is PBE-GGA.

E	-4.471	eV per atom
E_form	-0.41	eV per atom
DOS(E_F)	10.78	states/eV/f.u.

Cell lengths 10.529, 10.529, 4.918 Å; angles 90.00, 90.00, 90.00 degrees
Space group I4/m (No. 87)
One atom of each set of equivalent atoms:
La (0.136, 0.352, 0.000) [8 per cell]
Pm (0.000, 0.000, 0.000) [2 per cell]
Ga (0.069, 0.166, 0.500) [8 per cell]

---

This record from Alexandria describes an optimized crystal structure of SnHgGe2. The functional is PBE-GGA.

E	-3.112	eV per atom
E_form	0.27	eV per atom
DOS(E_F)	1.81	states/eV/f.u.

Cell lengths 6.269, 6.269, 12.140 Å; angles 90.00, 90.00, 90.00 degrees
Space group I-42d (No. 122)
One atom of each set of equivalent atoms:
Sn (0.000, 0.000, 0.000) [4 per cell]
Hg (0.000, 0.000, 0.500) [4 per cell]
Ge (0.247, 0.250, 0.625) [8 per cell]

---

This record from Alexandria describes an optimized crystal structure of ZrVCuOs. The functional is PBE-GGA.

E	-8.328	eV per atom
E_form	-0.08	eV per atom
DOS(E_F)	2.64	states/eV/f.u.

Cell lengths 6.309, 6.309, 6.309 Å; angles 90.00, 90.00, 90.00 degrees
Space group F-43m (No. 216)
One atom of each set of equivalent atoms:
Zr (0.000, 0.000, 0.000) [4 per cell]
V (0.000, 0.000, 0.500) [4 per cell]
Cu (0.250, 0.250, 0.750) [4 per cell]
Os (0.250, 0.250, 0.250) [4 per cell]

---

This record from Alexandria describes an optimized crystal structure of Tb5Pm2Tm. The functional is PBE-GGA.

E	-4.624	eV per atom
E_form	0.02	eV per atom
E above lowest polymorph	0.000	eV/atom
DOS(E_F)	10.57	states/eV/f.u.

Cell lengths 7.151, 14.305, 5.044 Å; angles 90.00, 90.00, 90.00 degrees
Space group Pbam (No. 55)
One atom of each set of equivalent atoms:
Tb (0.000, 0.000, 0.000) [2 per cell]
Tb (0.001, 0.250, 0.000) [4 per cell]
Tb (0.249, 0.875, 0.500) [4 per cell]
Pm (0.249, 0.625, 0.500) [4 per cell]
Tm (0.000, 0.500, 0.000) [2 per cell]